# YNbSN2

A PBEsol-optimized structure of YNbSN2 (SCAN, the Alexandria database).

Cell: 4.1699 4.1699 5.0908 Å, 90.00 90.00 90.00°
Last column: nearest neighbours and their distance in Å.
Space group P4/mmm (No. 123)
Inequivalent atoms, fractional coordinates:
Y 0.0000 0.0000 0.0000  4 N 2.08
Nb 0.5000 0.5000 0.5000  4 S 2.95, 8 N 3.29
S 0.0000 0.0000 0.5000  2 Y 2.55
N 0.0000 0.5000 0.0000  2 Y 2.08

As for the energy: -17.21 eV per atom. As for the density of states at the Fermi level: 2.50 states/eV per cell.

=====

# Ta5Pb11O26

A PBEsol-optimized structure of Ta5Pb11O26 (SCAN, the Alexandria database).

Cell: 13.1335 7.5816 13.2577 Å, 90.00 109.84 90.00°
Last column: nearest neighbours and their distance in Å.
Space group C2/m (No. 12)
Inequivalent atoms, fractional coordinates:
Ta 0.0000 0.0000 0.0000  6 O 1.97-2.00
Ta 0.2500 0.2500 0.0000  6 O 1.99-2.00
Ta 0.2500 0.2500 0.5000  6 O 1.97-1.99
Pb 0.0000 0.0000 0.5000  6 O 2.60-2.86
Pb 0.0000 0.5000 0.0000  8 O 2.50-2.75
Pb 0.0000 0.5000 0.5000  6 O 2.15-2.16
Pb 0.0028 0.2523 0.2577  2 O 2.31-2.49
Pb 0.2466 0.0000 0.7409  1 O 2.27
Pb 0.2497 0.0000 0.2456  6 O 2.13-2.18
O 0.0695 0.5000 0.2007  4 Pb 2.27-2.50
O 0.0770 0.5000 0.6714  2 Pb 2.15-2.17
O 0.0807 0.0000 0.1557  1 Ta 1.97, 1 Pb 2.13
O 0.0924 0.2863 0.4660  1 Ta 1.98, 1 Pb 2.16
O 0.0959 0.1876 0.9757  2 Ta 2.00
O 0.2112 0.2837 0.8429  1 Ta 1.99, 1 Pb 2.18
O 0.2149 0.5000 0.0200  2 Ta 1.99
O 0.2172 0.2088 0.3440  1 Ta 1.99, 1 Pb 2.18
O 0.2258 0.0000 0.5266  2 Ta 1.97

As for the energy: -33.57 eV per atom. As for the density of states at the Fermi level: 5.88 states/eV per cell.

=====

# BaPSe3

A PBEsol-optimized structure of BaPSe3 (SCAN, the Alexandria database).

Cell: 6.9901 7.8147 12.3178 Å, 90.00 123.62 90.00°
Last column: nearest neighbours and their distance in Å.
Space group P2_1/c (No. 14)
Inequivalent atoms, fractional coordinates:
Ba 0.2096 0.0910 0.2496  8 Se 3.32-3.43
P 0.1045 0.6126 0.0603  3 Se 2.19-2.20, 1 P 2.24
Se 0.1514 0.2010 0.9645  1 P 2.19
Se 0.2857 0.7099 0.9729  1 P 2.20
Se 0.3257 0.5168 0.2604  1 P 2.19

As for the energy: -23.21 eV per atom. As for the density of states at the Fermi level: 0.00 states/eV per cell.

=====

# SrLi3P

A PBEsol-optimized structure of SrLi3P (SCAN, the Alexandria database).

Cell: 5.2553 5.2553 5.2553 Å, 90.00 90.00 90.00°
Last column: nearest neighbours and their distance in Å.
Space group Pm-3m (No. 221)
Inequivalent atoms, fractional coordinates:
Sr 0.0000 0.0000 0.0000  6 Li 2.63
Li 0.0000 0.0000 0.5000  2 Sr 2.63
P 0.5000 0.5000 0.5000  12 Li 3.72

As for the energy: -6.78 eV per atom. As for the density of states at the Fermi level: 2.56 states/eV per cell. As for the energy above the most stable polymorph in this dataset: 1547.4 meV per atom.

=====

# NaGeP

A PBEsol-optimized structure of NaGeP (SCAN, the Alexandria database).

Cell: 3.6042 3.6042 17.0703 Å, 90.00 90.00 120.00°
Last column: nearest neighbours and their distance in Å.
Space group R3m (No. 160, hexagonal axes)
Inequivalent atoms, fractional coordinates:
Na 0.0000 0.0000 0.0000  3 P 2.99, 4 Ge 3.15-3.33
Ge 0.0000 0.0000 0.8048  3 P 2.39
P 0.0000 0.0000 0.2074  3 Ge 2.39

As for the energy: -11.58 eV per atom.

=====

# CsLiMo2P

A PBEsol-optimized structure of CsLiMo2P (SCAN, the Alexandria database).

Cell: 4.9917 4.9917 5.4268 Å, 90.00 90.00 90.00°
Last column: nearest neighbours and their distance in Å.
Space group P4/mmm (No. 123)
Inequivalent atoms, fractional coordinates:
Cs 0.0000 0.0000 0.0000  4 Mo 2.50, 2 P 2.71
Li 0.5000 0.5000 0.5000  4 P 3.53, 8 Mo 3.69
Mo 0.0000 0.5000 0.0000  2 Cs 2.50
P 0.0000 0.0000 0.5000  2 Cs 2.71

As for the energy: -21.14 eV per atom. As for the density of states at the Fermi level: 4.65 states/eV per cell.

=====

# Mg3MnNi2

A PBEsol-optimized structure of Mg3MnNi2 (SCAN, the Alexandria database).

Cell: 11.3056 11.3056 11.3056 Å, 90.00 90.00 90.00°
Last column: nearest neighbours and their distance in Å.
Space group Fd-3m (No. 227, origin choice 2)
Inequivalent atoms, fractional coordinates:
Mg 0.0736 0.3750 0.3750  4 Ni 2.74-2.81, 2 Mn 2.82, 4 Mg 2.94
Mn 0.0000 0.0000 0.5000  6 Ni 2.42
Ni 0.0455 0.0455 0.7045  3 Mn 2.42, 3 Ni 2.54

As for the energy: -11.16 eV per atom. As for the density of states at the Fermi level: 60.48 states/eV per cell.

=====

# NaAlSiO4

A PBEsol-optimized structure of NaAlSiO4 (SCAN, the Alexandria database).

Cell: 10.3119 5.1846 14.0485 Å, 90.00 90.00 90.00°
Last column: nearest neighbours and their distance in Å.
Space group Pca2_1 (No. 29)
Inequivalent atoms, fractional coordinates:
Na 0.0248 0.0492 0.0000  4 O 2.34-2.41
Na 0.2130 0.5563 0.7517  4 O 2.36-2.40
Al 0.0270 0.9400 0.2505  4 O 1.75-1.76
Al 0.2206 0.5460 0.0026  4 O 1.76
Si 0.0308 0.4414 0.3771  4 O 1.63-1.64
Si 0.2226 0.0456 0.6257  4 O 1.63-1.64
O 0.0020 0.8571 0.8486  1 Si 1.63, 1 Al 1.76
O 0.0079 0.3767 0.7865  1 Si 1.63, 1 Al 1.76
O 0.0580 0.4874 0.9700  1 Si 1.64, 1 Al 1.76
O 0.0709 0.9865 0.6515  1 Si 1.64, 1 Al 1.76
O 0.1835 0.4840 0.4020  1 Si 1.63, 1 Al 1.76
O 0.1906 0.9608 0.2175  1 Si 1.63, 1 Al 1.75
O 0.2364 0.8738 0.0330  1 Si 1.63, 1 Al 1.76
O 0.2449 0.3504 0.6016  1 Si 1.63, 1 Al 1.76

As for the energy: -9.71 eV per atom. As for the density of states at the Fermi level: 0.00 states/eV per cell. As for the energy above the most stable polymorph in this dataset: 0.0 meV per atom.

=====

# CaMnCo2

A PBEsol-optimized structure of CaMnCo2 (SCAN, the Alexandria database).

Cell: 2.9074 2.9074 6.6027 Å, 90.00 90.00 90.00°
Last column: nearest neighbours and their distance in Å.
Space group P4/mmm (No. 123)
Inequivalent atoms, fractional coordinates:
Ca 0.0000 0.0000 0.0000  4 Ca 2.91, 8 Co 2.91
Mn 0.0000 0.0000 0.5000  8 Co 2.40
Co 0.5000 0.5000 0.3130  4 Mn 2.40, 1 Co 2.47

As for the energy: -15.33 eV per atom. As for the density of states at the Fermi level: 2.98 states/eV per cell. As for the energy above the most stable polymorph in this dataset: 0.0 meV per atom.

=====

# Tl2FeSi

A PBEsol-optimized structure of Tl2FeSi (SCAN, the Alexandria database).

Cell: 6.8479 6.8479 6.8479 Å, 90.00 90.00 90.00°
Last column: nearest neighbours and their distance in Å.
Space group Fm-3m (No. 225)
Inequivalent atoms, fractional coordinates:
Tl 0.2500 0.2500 0.2500  4 Fe 2.97, 4 Si 2.97
Fe 0.0000 0.0000 0.0000  8 Tl 2.97
Si 0.0000 0.0000 0.5000  8 Tl 2.97

As for the energy: -42.36 eV per atom. As for the density of states at the Fermi level: 17.38 states/eV per cell.

=====

# Li2MnCoO4

A PBEsol-optimized structure of Li2MnCoO4 (SCAN, the Alexandria database).

Cell: 4.8847 4.9551 5.6676 Å, 105.48 90.94 99.46°
Last column: nearest neighbours and their distance in Å.
Space group P1 (No. 1)
Inequivalent atoms, fractional coordinates:
Li 0.0000 0.0000 0.0000  6 O 1.98-2.13
Li 0.9995 0.0183 0.5129  6 O 2.03-2.16
Li 0.5036 0.0086 0.7631  6 O 2.07-2.15
Li 0.5085 0.0119 0.2594  6 O 1.99-2.19
Mn 0.2451 0.5076 0.3846  6 O 1.90-1.97
Mn 0.7542 0.5113 0.1328  6 O 1.89-1.95
Co 0.2528 0.5139 0.8871  6 O 1.91-1.95
Co 0.7546 0.5074 0.6251  6 O 1.91-2.14
O 0.1249 0.7341 0.1902  2 Mn 1.92-1.93, 1 Co 1.95, 2 Li 2.07-2.10
O 0.1280 0.7310 0.6849  1 Mn 1.92, 2 Co 1.92-1.95, 3 Li 2.07-2.10
O 0.3791 0.2963 0.5888  2 Co 1.92-1.93, 1 Mn 1.93, 2 Li 2.08-2.10
O 0.3825 0.2925 0.0851  1 Co 1.93, 2 Mn 1.93-1.94, 3 Li 2.07-2.14
O 0.6134 0.7426 0.9600  1 Mn 1.89, 1 Co 1.91, 3 Li 1.99-2.07
O 0.6243 0.7325 0.4357  1 Co 1.91, 2 Mn 1.95-1.97, 2 Li 2.05-2.08
O 0.8751 0.2946 0.8298  2 Co 1.91-1.95, 1 Mn 1.93, 3 Li 2.07-2.11
O 0.8945 0.2624 0.3011  2 Mn 1.90-1.95, 3 Li 1.98-2.05, 1 Co 2.11

As for the energy: -10.16 eV per atom. As for the density of states at the Fermi level: 4.55 states/eV per cell. As for the energy above the most stable polymorph in this dataset: 32.7 meV per atom.

=====

# MgAlInNi2

A PBEsol-optimized structure of MgAlInNi2 (SCAN, the Alexandria database).

Cell: 4.3750 4.3750 4.8636 Å, 90.00 90.00 90.00°
Last column: nearest neighbours and their distance in Å.
Space group P4/mmm (No. 123)
Inequivalent atoms, fractional coordinates:
Mg 0.0000 0.0000 0.0000  4 In 3.09, 8 Ni 3.27
Al 0.5000 0.5000 0.5000  4 Ni 2.19, 2 In 2.43
In 0.5000 0.5000 0.0000  2 Al 2.43
Ni 0.0000 0.5000 0.5000  2 Al 2.19

As for the energy: -15.17 eV per atom. As for the density of states at the Fermi level: 2.06 states/eV per cell.